DFT (GGA-PBE) results for a geometry-optimized In2CoSiHg structure.

abc: 5.390 5.390 4.889
angles: 90.00 90.00 90.00
Space group P4/mmm (No. 123)
Unique sites:
In  0.000  0.500  0.000 [2 per cell]
Co  0.000  0.000  0.500 [1 per cell]
Si  0.500  0.500  0.500 [1 per cell]
Hg  0.000  0.000  0.000 [1 per cell]

Output
**Theoretical density**: 6.05 Mg/m³
**Energy relative to the elements, uncorrected**: 1178 meV per atom